First-principles (PBE-GGA) data for an optimized crystal structure of Dy2AlZn4Au3, as listed in Alexandria via LeMat-Bulk.

Its magnetic moment is 0.000 μB/cell. The calculated formation energy comes out at -0.504 eV/atom.

The structure belongs to space group P-4m2 (No. 115); the cell edges are 4.043, 4.043 and 11.842 Å and the angles 90.00°, 90.00° and 90.00°. The distinct sites, in fractional coordinates, are Dy at (0.000, 0.500, 0.244), Al at (0.500, 0.500, 0.000), Zn at (0.000, 0.000, 0.500), Zn at (0.000, 0.500, 0.861), Zn at (0.500, 0.500, 0.500), Au at (0.000, 0.000, 0.000) and Au at (0.000, 0.500, 0.647).